# La8P3HBr4

An optimized crystal structure of La8P3HBr4 (PBE-GGA, the Alexandria database).

Computed properties:
D(E_F)   0.60 states/eV per atom
Total energy   -262.62 eV for the cell shown
Calculated density   5.72 g/cm³
Crystal system   trigonal

abc: 8.3918 8.3918 21.7562
angles: 90.00 90.00 120.00
Space group R-3m (No. 166, hexagonal axes)
Inequivalent atoms, fractional coordinates:
La (0.0000, 0.0000, 0.2384) x6
La (0.0031, 0.5015, 0.2375) x18
P (0.0000, 0.5000, 0.5000) x9
H (0.0000, 0.0000, 0.5000) x3
Br (0.0000, 0.0000, 0.0000) x3
Br (0.0000, 0.5000, 0.0000) x9